Record 1
This record from Alexandria via LeMat-Bulk describes a geometry-optimized VSnSb2 structure. The functional is GGA-PBE.

Cell: 3.8226 8.8769 5.5590 Å, 90.00 110.02 90.00°
Space group P2_1/m (No. 11)
Asymmetric unit:
V (0.2248, 0.2500, 0.4494) x2
Sn (0.0654, 0.7500, 0.1299) x2
Sb (0.3614, 0.5356, 0.7240) x4

Output
The mass density comes out at 7.74 g/cm3. The uncorrected formation energy is 0.040 eV per atom.

***

Record 2
This record from Alexandria via LeMat-Bulk describes a geometry-optimized MnSiSnIrS structure. The functional is GGA-PBE.

Cell: 6.8664 3.9688 7.2095 Å, 90.00 90.06 90.00°
Space group Cm (No. 8)
Asymmetric unit:
Mn (0.0000, 0.0000, 0.0000) x2
Si (0.1658, 0.5000, 0.8116) x2
Sn (0.4984, 0.5000, 0.5033) x2
Ir (0.3323, 0.0000, 0.7461) x2
S (0.1668, 0.5000, 0.1369) x2

Output
The polymorph energy (0 for the lowest one) comes out at 44.9 meV/atom. The mass density comes out at 7.20 g/cm3. The uncorrected formation energy is -0.314 eV per atom.

***

Record 3
This record from Alexandria via LeMat-Bulk describes a geometry-optimized NaMgTl2Br5 structure. The functional is GGA-PBE.

Cell: 4.1844 18.5127 15.3985 Å, 90.00 90.00 90.00°
Space group Cmc2_1 (No. 36)
Asymmetric unit:
Na (0.0000, 0.0446, 0.0000) x4
Mg (0.0000, 0.2752, 0.5759) x4
Tl (0.0000, 0.3611, 0.8429) x4
Tl (0.0000, 0.4157, 0.2026) x4
Br (0.0000, 0.0053, 0.3293) x4
Br (0.0000, 0.1328, 0.5416) x4
Br (0.0000, 0.2028, 0.9623) x4
Br (0.0000, 0.2391, 0.1969) x4
Br (0.0000, 0.4180, 0.6142) x4

Output
The mass density comes out at 4.76 g/cm3. The uncorrected formation energy is -1.186 eV per atom.